(1)
Density functional theory data (PBE) for a geometry-optimized PmAsW structure.

Cell and atoms, written as CIF:
```
data_PmAsW
_chemical_formula_sum 'Pm1 As1 W1'
_cell_length_a 4.5796
_cell_length_b 4.5796
_cell_length_c 4.5796
_cell_angle_alpha 60.00
_cell_angle_beta 60.00
_cell_angle_gamma 60.00
_space_group_name_H-M_alt 'P 1'
_space_group_IT_number 1
_space_group_name_Hall 'P 1'
loop_
_atom_site_label
_atom_site_type_symbol
_atom_site_fract_x
_atom_site_fract_y
_atom_site_fract_z
W1 W 0.7500 0.7500 0.7500
As1 As 0.0000 0.0000 0.0000
Pm1 Pm 0.2500 0.2500 0.2500
```

## Properties
E_tot = -7.1436 eV/atom
spin magnetization = 0.0 μB/cell
mass density = 9.9 g cm⁻³

---

(2)
Density functional theory data (PBE) for a geometry-optimized PmAsW structure.

Cell and atoms, written as CIF:
```
data_PmAsW
_chemical_formula_sum 'Pm1 As1 W1'
_cell_length_a 4.8527
_cell_length_b 4.8527
_cell_length_c 4.8527
_cell_angle_alpha 60.00
_cell_angle_beta 60.00
_cell_angle_gamma 60.00
_space_group_name_H-M_alt 'P 1'
_space_group_IT_number 1
_space_group_name_Hall 'P 1'
loop_
_atom_site_label
_atom_site_type_symbol
_atom_site_fract_x
_atom_site_fract_y
_atom_site_fract_z
W1 W 0.7500 0.7500 0.7500
As1 As 0.2500 0.2500 0.2500
Pm1 Pm 0.0000 0.0000 0.0000
```

## Properties
E_tot = -6.1866 eV/atom
spin magnetization = 3.2 μB/cell
mass density = 8.3 g cm⁻³

---

(3)
Density functional theory data (PBE) for a geometry-optimized PmYAs structure.

Cell and atoms, written as CIF:
```
data_PmYAs
_chemical_formula_sum 'Pm1 Y1 As1'
_cell_length_a 4.8920
_cell_length_b 4.8920
_cell_length_c 4.8920
_cell_angle_alpha 60.00
_cell_angle_beta 60.00
_cell_angle_gamma 60.00
_space_group_name_H-M_alt 'P 1'
_space_group_IT_number 1
_space_group_name_Hall 'P 1'
loop_
_atom_site_label
_atom_site_type_symbol
_atom_site_fract_x
_atom_site_fract_y
_atom_site_fract_z
Pm1 Pm 0.2500 0.2500 0.2500
Y1 Y 0.7500 0.7500 0.7500
As1 As 0.0000 0.0000 0.0000
```

## Properties
E_tot = -6.0962 eV/atom
spin magnetization = 0.0 μB/cell
mass density = 6.2 g cm⁻³

---

(4)
Density functional theory data (PBE) for a geometry-optimized PmZnAs structure.

Cell and atoms, written as CIF:
```
data_PmZnAs
_chemical_formula_sum 'Pm1 Zn1 As1'
_cell_length_a 4.6528
_cell_length_b 4.6528
_cell_length_c 4.6528
_cell_angle_alpha 60.00
_cell_angle_beta 60.00
_cell_angle_gamma 60.00
_space_group_name_H-M_alt 'P 1'
_space_group_IT_number 1
_space_group_name_Hall 'P 1'
loop_
_atom_site_label
_atom_site_type_symbol
_atom_site_fract_x
_atom_site_fract_y
_atom_site_fract_z
As1 As 0.2500 0.2500 0.2500
Pm1 Pm 0.7500 0.7500 0.7500
Zn1 Zn 0.0000 0.0000 0.0000
```

## Properties
E_tot = -3.9655 eV/atom
spin magnetization = 0.0 μB/cell
mass density = 6.7 g cm⁻³

---

(5)
Density functional theory data (PBE) for a geometry-optimized PmZnAs structure.

Cell and atoms, written as CIF:
```
data_PmZnAs
_chemical_formula_sum 'Pm1 Zn1 As1'
_cell_length_a 4.8656
_cell_length_b 4.8656
_cell_length_c 4.8656
_cell_angle_alpha 60.00
_cell_angle_beta 60.00
_cell_angle_gamma 60.00
_space_group_name_H-M_alt 'P 1'
_space_group_IT_number 1
_space_group_name_Hall 'P 1'
loop_
_atom_site_label
_atom_site_type_symbol
_atom_site_fract_x
_atom_site_fract_y
_atom_site_fract_z
As1 As 0.2500 0.2500 0.2500
Pm1 Pm 0.0000 0.0000 0.0000
Zn1 Zn 0.7500 0.7500 0.7500
```

## Properties
E_tot = -4.0094 eV/atom
spin magnetization = 0.0 μB/cell
mass density = 5.8 g cm⁻³

---

(6)
Density functional theory data (PBE) for a geometry-optimized PmZrAs structure.

Cell and atoms, written as CIF:
```
data_PmZrAs
_chemical_formula_sum 'Pm1 Zr1 As1'
_cell_length_a 4.9979
_cell_length_b 4.9979
_cell_length_c 4.9979
_cell_angle_alpha 60.00
_cell_angle_beta 60.00
_cell_angle_gamma 60.00
_space_group_name_H-M_alt 'P 1'
_space_group_IT_number 1
_space_group_name_Hall 'P 1'
loop_
_atom_site_label
_atom_site_type_symbol
_atom_site_fract_x
_atom_site_fract_y
_atom_site_fract_z
Pm1 Pm 0.0000 0.0000 0.0000
Zr1 Zr 0.7500 0.7500 0.7500
As1 As 0.2500 0.2500 0.2500
```

## Properties
E_tot = -5.5086 eV/atom
spin magnetization = 3.7 μB/cell
mass density = 5.9 g cm⁻³

---

(7)
Density functional theory data (PBE) for a geometry-optimized PmZr2As3 structure.

Cell and atoms, written as CIF:
```
data_PmZr2As3
_chemical_formula_sum 'Pm1 Zr2 As3'
_cell_length_a 3.9895
_cell_length_b 3.9895
_cell_length_c 9.7289
_cell_angle_alpha 90.00
_cell_angle_beta 90.00
_cell_angle_gamma 120.00
_space_group_name_H-M_alt 'P 1'
_space_group_IT_number 1
_space_group_name_Hall 'P 1'
loop_
_atom_site_label
_atom_site_type_symbol
_atom_site_fract_x
_atom_site_fract_y
_atom_site_fract_z
Zr1 Zr 0.3333 0.6667 0.8472
As1 As 0.3333 0.6667 0.3135
As2 As 0.0000 0.0000 0.0000
Pm1 Pm 0.0000 0.0000 0.5000
Zr2 Zr 0.6667 0.3333 0.1528
As3 As 0.6667 0.3333 0.6865
```

## Properties
E_tot = -7.2046 eV/atom
spin magnetization = 0.0 μB/cell
mass density = 6.8 g cm⁻³

---

(8)
Density functional theory data (PBE) for a geometry-optimized Pm2ZrAs3 structure.

Cell and atoms, written as CIF:
```
data_Pm2ZrAs3
_chemical_formula_sum 'Pm2 Zr1 As3'
_cell_length_a 4.0887
_cell_length_b 4.0887
_cell_length_c 10.1145
_cell_angle_alpha 90.00
_cell_angle_beta 90.00
_cell_angle_gamma 120.00
_space_group_name_H-M_alt 'P 1'
_space_group_IT_number 1
_space_group_name_Hall 'P 1'
loop_
_atom_site_label
_atom_site_type_symbol
_atom_site_fract_x
_atom_site_fract_y
_atom_site_fract_z
As1 As 0.0000 0.0000 0.0000
As2 As 0.3333 0.6667 0.3506
Pm1 Pm 0.6667 0.3333 0.1749
Pm2 Pm 0.3333 0.6667 0.8251
As3 As 0.6667 0.3333 0.6494
Zr1 Zr 0.0000 0.0000 0.5000
```

## Properties
E_tot = -6.7144 eV/atom
spin magnetization = 0.0 μB/cell
mass density = 6.9 g cm⁻³

---

(9)
Density functional theory data (PBE) for a geometry-optimized PmZrAs structure.

Cell and atoms, written as CIF:
```
data_PmZrAs
_chemical_formula_sum 'Pm1 Zr1 As1'
_cell_length_a 4.7440
_cell_length_b 4.7440
_cell_length_c 4.7440
_cell_angle_alpha 60.00
_cell_angle_beta 60.00
_cell_angle_gamma 60.00
_space_group_name_H-M_alt 'P 1'
_space_group_IT_number 1
_space_group_name_Hall 'P 1'
loop_
_atom_site_label
_atom_site_type_symbol
_atom_site_fract_x
_atom_site_fract_y
_atom_site_fract_z
Zr1 Zr 0.7500 0.7500 0.7500
As1 As 0.0000 0.0000 0.0000
Pm1 Pm 0.2500 0.2500 0.2500
```

## Properties
E_tot = -6.5625 eV/atom
spin magnetization = 0.4 μB/cell
mass density = 6.8 g cm⁻³

---

(10)
Density functional theory data (PBE) for a geometry-optimized PrAs2 structure.

Cell and atoms, written as CIF:
```
data_PrAs2
_chemical_formula_sum 'Pr2 As4'
_cell_length_a 5.5206
_cell_length_b 5.5206
_cell_length_c 8.5022
_cell_angle_alpha 103.20
_cell_angle_beta 103.20
_cell_angle_gamma 42.32
_space_group_name_H-M_alt 'P 1'
_space_group_IT_number 1
_space_group_name_Hall 'P 1'
loop_
_atom_site_label
_atom_site_type_symbol
_atom_site_fract_x
_atom_site_fract_y
_atom_site_fract_z
As1 As 0.1803 0.1803 0.0352
As2 As 0.4425 0.4425 0.6119
As3 As 0.8197 0.8197 0.9648
As4 As 0.5575 0.5575 0.3881
Pr1 Pr 0.8310 0.8310 0.3208
Pr2 Pr 0.1690 0.1690 0.6792
```

## Properties
E_tot = -5.5201 eV/atom
spin magnetization = 0.0 μB/cell
mass density = 5.7 g cm⁻³

---

(11)
Density functional theory data (PBE) for a geometry-optimized PrAs2 structure.

Cell and atoms, written as CIF:
```
data_PrAs2
_chemical_formula_sum 'Pr4 As8'
_cell_length_a 4.1663
_cell_length_b 6.9353
_cell_length_c 10.6666
_cell_angle_alpha 90.00
_cell_angle_beta 106.71
_cell_angle_gamma 90.00
_space_group_name_H-M_alt 'P 1'
_space_group_IT_number 1
_space_group_name_Hall 'P 1'
loop_
_atom_site_label
_atom_site_type_symbol
_atom_site_fract_x
_atom_site_fract_y
_atom_site_fract_z
As1 As 0.2732 0.3772 0.4501
As2 As 0.5386 0.3551 0.8289
Pr1 Pr 0.0886 0.8132 0.3600
Pr2 Pr 0.9114 0.3132 0.1400
As3 As 0.7268 0.8772 0.0499
Pr3 Pr 0.9114 0.1868 0.6400
As4 As 0.5386 0.1449 0.3289
As5 As 0.7268 0.6228 0.5499
Pr4 Pr 0.0886 0.6868 0.8600
As6 As 0.4614 0.6449 0.1711
As7 As 0.2732 0.1228 0.9501
As8 As 0.4614 0.8551 0.6711
```

## Properties
E_tot = -5.6848 eV/atom
spin magnetization = 0.0 μB/cell
mass density = 6.5 g cm⁻³

---

(12)
Density functional theory data (PBE) for a geometry-optimized PrAs2 structure.

Cell and atoms, written as CIF:
```
data_PrAs2
_chemical_formula_sum 'Pr4 As8'
_cell_length_a 7.5923
_cell_length_b 5.4240
_cell_length_c 7.9719
_cell_angle_alpha 90.00
_cell_angle_beta 116.12
_cell_angle_gamma 90.00
_space_group_name_H-M_alt 'P 1'
_space_group_IT_number 1
_space_group_name_Hall 'P 1'
loop_
_atom_site_label
_atom_site_type_symbol
_atom_site_fract_x
_atom_site_fract_y
_atom_site_fract_z
As1 As 0.5567 0.5886 0.2454
As2 As 0.5567 0.9114 0.7454
As3 As 0.4433 0.4114 0.7546
Pr1 Pr 0.7714 0.1701 0.1172
As4 As 0.8689 0.8343 0.4818
Pr2 Pr 0.2286 0.6701 0.3828
As5 As 0.4433 0.0886 0.2546
Pr3 Pr 0.7714 0.3299 0.6172
As6 As 0.1311 0.3343 0.0182
As7 As 0.1311 0.1657 0.5182
Pr4 Pr 0.2286 0.8299 0.8828
As8 As 0.8689 0.6657 0.9818
```

## Properties
E_tot = -5.5145 eV/atom
spin magnetization = 0.0 μB/cell
mass density = 6.6 g cm⁻³

---

(13)
Density functional theory data (PBE) for a geometry-optimized PrAs2 structure.

Cell and atoms, written as CIF:
```
data_PrAs2
_chemical_formula_sum 'Pr2 As4'
_cell_length_a 9.4914
_cell_length_b 9.4914
_cell_length_c 9.4914
_cell_angle_alpha 60.00
_cell_angle_beta 60.00
_cell_angle_gamma 60.00
_space_group_name_H-M_alt 'P 1'
_space_group_IT_number 1
_space_group_name_Hall 'P 1'
loop_
_atom_site_label
_atom_site_type_symbol
_atom_site_fract_x
_atom_site_fract_y
_atom_site_fract_z
As1 As 0.3750 0.8750 0.3750
Pr1 Pr 0.5000 0.5000 0.5000
As2 As 0.8750 0.3750 0.3750
As3 As 0.3750 0.3750 0.8750
As4 As 0.3750 0.3750 0.3750
Pr2 Pr 0.2500 0.2500 0.2500
```

## Properties
E_tot = -4.1013 eV/atom
spin magnetization = 6.0 μB/cell
mass density = 1.6 g cm⁻³

---

(14)
Density functional theory data (PBE) for a geometry-optimized Pr3As2 structure.

Cell and atoms, written as CIF:
```
data_Pr3As2
_chemical_formula_sum 'Pr3 As2'
_cell_length_a 4.2615
_cell_length_b 4.2615
_cell_length_c 10.0905
_cell_angle_alpha 90.00
_cell_angle_beta 90.00
_cell_angle_gamma 120.00
_space_group_name_H-M_alt 'P 1'
_space_group_IT_number 1
_space_group_name_Hall 'P 1'
loop_
_atom_site_label
_atom_site_type_symbol
_atom_site_fract_x
_atom_site_fract_y
_atom_site_fract_z
Pr1 Pr 0.3333 0.6667 0.8376
As1 As 0.3333 0.6667 0.3218
Pr2 Pr 0.0000 0.0000 0.5000
Pr3 Pr 0.6667 0.3333 0.1624
As2 As 0.6667 0.3333 0.6782
```

## Properties
E_tot = -5.8618 eV/atom
spin magnetization = 0.0 μB/cell
mass density = 6.0 g cm⁻³

---

(15)
Density functional theory data (PBE) for a geometry-optimized PrAs2 structure.

Cell and atoms, written as CIF:
```
data_PrAs2
_chemical_formula_sum 'Pr2 As4'
_cell_length_a 5.7945
_cell_length_b 5.7945
_cell_length_c 5.7945
_cell_angle_alpha 60.00
_cell_angle_beta 60.00
_cell_angle_gamma 60.00
_space_group_name_H-M_alt 'P 1'
_space_group_IT_number 1
_space_group_name_Hall 'P 1'
loop_
_atom_site_label
_atom_site_type_symbol
_atom_site_fract_x
_atom_site_fract_y
_atom_site_fract_z
Pr1 Pr 0.0000 0.0000 0.0000
As1 As 0.6250 0.6250 0.1250
As2 As 0.6250 0.6250 0.6250
As3 As 0.6250 0.1250 0.6250
As4 As 0.1250 0.6250 0.6250
Pr2 Pr 0.2500 0.2500 0.2500
```

## Properties
E_tot = -5.1524 eV/atom
spin magnetization = 0.0 μB/cell
mass density = 7.0 g cm⁻³

---

(16)
Density functional theory data (PBE) for a geometry-optimized PrSmAs2Pt2 structure.

Cell and atoms, written as CIF:
```
data_PrSmAs2Pt2
_chemical_formula_sum 'Pr2 Sm2 As4 Pt4'
_cell_length_a 4.3472
_cell_length_b 4.3472
_cell_length_c 15.9198
_cell_angle_alpha 90.00
_cell_angle_beta 90.00
_cell_angle_gamma 120.00
_space_group_name_H-M_alt 'P 1'
_space_group_IT_number 1
_space_group_name_Hall 'P 1'
loop_
_atom_site_label
_atom_site_type_symbol
_atom_site_fract_x
_atom_site_fract_y
_atom_site_fract_z
Pr1 Pr 0.0000 0.0000 0.0000
Pt1 Pt 0.3333 0.6667 0.1360
Pt2 Pt 0.6667 0.3333 0.8640
Pt3 Pt 0.3333 0.6667 0.3640
As1 As 0.6667 0.3333 0.1202
As2 As 0.3333 0.6667 0.6202
As3 As 0.6667 0.3333 0.3798
Pr2 Pr 0.0000 0.0000 0.5000
As4 As 0.3333 0.6667 0.8798
Pt4 Pt 0.6667 0.3333 0.6360
Sm1 Sm 0.0000 0.0000 0.7500
Sm2 Sm 0.0000 0.0000 0.2500
```

## Properties
E_tot = -6.3976 eV/atom
spin magnetization = 0.0 μB/cell
mass density = 10.6 g cm⁻³

---

(17)
Density functional theory data (PBE) for a geometry-optimized RbPrAsSe3 structure.

Cell and atoms, written as CIF:
```
data_RbPrAsSe3
_chemical_formula_sum 'Rb2 Pr2 As2 Se6'
_cell_length_a 7.6283
_cell_length_b 7.6283
_cell_length_c 12.0934
_cell_angle_alpha 90.00
_cell_angle_beta 90.00
_cell_angle_gamma 145.59
_space_group_name_H-M_alt 'P 1'
_space_group_IT_number 1
_space_group_name_Hall 'P 1'
loop_
_atom_site_label
_atom_site_type_symbol
_atom_site_fract_x
_atom_site_fract_y
_atom_site_fract_z
Se1 Se 0.3682 0.6318 0.4635
Rb1 Rb 0.7291 0.2709 0.2500
As1 As 0.4280 0.5720 0.2500
Se2 Se 0.3682 0.6318 0.0365
Pr1 Pr 0.0000 0.0000 0.0000
Se3 Se 0.6318 0.3682 0.5365
As2 As 0.5720 0.4280 0.7500
Se4 Se 0.9842 0.0158 0.7500
Rb2 Rb 0.2709 0.7291 0.7500
Se5 Se 0.6318 0.3682 0.9635
Pr2 Pr 0.0000 0.0000 0.5000
Se6 Se 0.0158 0.9842 0.2500
```

## Properties
E_tot = -4.4860 eV/atom
spin magnetization = 0.0 μB/cell
mass density = 4.5 g cm⁻³

---

(18)
Density functional theory data (PBE) for a geometry-optimized PrReAs structure.

Cell and atoms, written as CIF:
```
data_PrReAs
_chemical_formula_sum 'Pr1 Re1 As1'
_cell_length_a 4.8296
_cell_length_b 4.8296
_cell_length_c 4.8296
_cell_angle_alpha 60.00
_cell_angle_beta 60.00
_cell_angle_gamma 60.00
_space_group_name_H-M_alt 'P 1'
_space_group_IT_number 1
_space_group_name_Hall 'P 1'
loop_
_atom_site_label
_atom_site_type_symbol
_atom_site_fract_x
_atom_site_fract_y
_atom_site_fract_z
Pr1 Pr 0.0000 0.0000 0.0000
As1 As 0.2500 0.2500 0.2500
Re1 Re 0.7500 0.7500 0.7500
```

## Properties
E_tot = -6.0599 eV/atom
spin magnetization = 1.8 μB/cell
mass density = 8.4 g cm⁻³

---

(19)
Density functional theory data (PBE) for a geometry-optimized PrReAs structure.

Cell and atoms, written as CIF:
```
data_PrReAs
_chemical_formula_sum 'Pr1 Re1 As1'
_cell_length_a 4.6168
_cell_length_b 4.6168
_cell_length_c 4.6168
_cell_angle_alpha 60.00
_cell_angle_beta 60.00
_cell_angle_gamma 60.00
_space_group_name_H-M_alt 'P 1'
_space_group_IT_number 1
_space_group_name_Hall 'P 1'
loop_
_atom_site_label
_atom_site_type_symbol
_atom_site_fract_x
_atom_site_fract_y
_atom_site_fract_z
As1 As 0.0000 0.0000 0.0000
Re1 Re 0.7500 0.7500 0.7500
Pr1 Pr 0.2500 0.2500 0.2500
```

## Properties
E_tot = -6.9168 eV/atom
spin magnetization = 1.4 μB/cell
mass density = 9.6 g cm⁻³

---

(20)
Density functional theory data (PBE) for a geometry-optimized PrAsS structure.

Cell and atoms, written as CIF:
```
data_PrAsS
_chemical_formula_sum 'Pr4 As4 S4'
_cell_length_a 3.9462
_cell_length_b 17.6714
_cell_length_c 5.6226
_cell_angle_alpha 90.00
_cell_angle_beta 134.56
_cell_angle_gamma 90.00
_space_group_name_H-M_alt 'P 1'
_space_group_IT_number 1
_space_group_name_Hall 'P 1'
loop_
_atom_site_label
_atom_site_type_symbol
_atom_site_fract_x
_atom_site_fract_y
_atom_site_fract_z
Pr1 Pr 0.9819 0.8540 0.2317
Pr2 Pr 0.0181 0.3540 0.2683
As1 As 0.4579 0.9980 0.7082
S1 S 0.0161 0.1864 0.2660
As2 As 0.4579 0.5020 0.2082
As3 As 0.5421 0.4980 0.7918
Pr3 Pr 0.0181 0.1460 0.7683
As4 As 0.5421 0.0020 0.2918
Pr4 Pr 0.9819 0.6460 0.7317
S2 S 0.9839 0.8136 0.7340
S3 S 0.0161 0.3136 0.7660
S4 S 0.9839 0.6864 0.2340
```

## Properties
E_tot = -6.0858 eV/atom
spin magnetization = 0.0 μB/cell
mass density = 5.9 g cm⁻³